Entry from the Alexandria database: SbAuBr2 after structural relaxation (GGA-PBE).

Its energy above the most stable polymorph in this dataset is 0.434 eV per atom. Its formation energy (no corrections) is 121 meV/atom.

Cell lengths 5.7864, 5.7864, 3.3954 Å; angles 90.38, 90.38, 89.79 degrees
With the nearest neighbours (Å) after each atom.
Fractional positions:
Sb  0.0000  0.0000  0.0000  4 Br 2.89
Au  0.5000  0.5000  0.0000  4 Br 2.89
Br  0.0000  0.5000  0.0000  2 Sb 2.89, 2 Au 2.89
Br  0.5000  0.0000  0.0000  2 Sb 2.89, 2 Au 2.89